{"formula": "Tb12Pm3Dy", "functional": "PBE-GGA", "state": "optimized geometry", "formation_energy_kj_per_mol_atoms": 1.6, "crystal_system": "tetragonal", "magnetic_moment_mub_per_cell": 0.00, "cell": [[5.0572, 0.0000, 0.0000], [0.0000, 5.0572, 0.0000], [0.0000, 0.0000, 20.2252]], "species": ["Tb", "Tb", "Tb", "Tb", "Tb", "Tb", "Tb", "Tb", "Tb", "Tb", "Tb", "Tb", "Pm", "Pm", "Pm", "Dy"], "frac_coords": [[0.0000, 0.0000, 0.0000], [0.0000, 0.0000, 0.2488], [0.0000, 0.0000, 0.5000], [0.0000, 0.0000, 0.7512], [0.0000, 0.5000, 0.1236], [0.0000, 0.5000, 0.3744], [0.0000, 0.5000, 0.6256], [0.0000, 0.5000, 0.8764], [0.5000, 0.0000, 0.1236], [0.5000, 0.0000, 0.3744], [0.5000, 0.0000, 0.6256], [0.5000, 0.0000, 0.8764], [0.5000, 0.5000, 0.2492], [0.5000, 0.5000, 0.5000], [0.5000, 0.5000, 0.7508], [0.5000, 0.5000, 0.0000]]}

=====

{"formula": "KHgPt2", "functional": "PBE-GGA", "state": "optimized geometry", "formation_energy_kj_per_mol_atoms": -15.0, "crystal_system": "orthorhombic", "magnetic_moment_mub_per_cell": 0.00, "cell": [[8.0366, 0.0000, 0.0000], [0.0000, 4.6181, 0.0000], [0.0000, 0.0000, 11.3953]], "species": ["K", "K", "K", "K", "Hg", "Hg", "Hg", "Hg", "Pt", "Pt", "Pt", "Pt", "Pt", "Pt", "Pt", "Pt"], "frac_coords": [[0.1494, 0.2500, 0.2495], [0.3506, 0.7500, 0.7495], [0.6494, 0.2500, 0.2505], [0.8506, 0.7500, 0.7505], [0.0873, 0.2500, 0.5596], [0.4127, 0.7500, 0.0596], [0.5873, 0.2500, 0.9404], [0.9127, 0.7500, 0.4404], [0.0784, 0.7500, 0.9999], [0.2474, 0.2500, 0.9732], [0.2526, 0.7500, 0.4732], [0.4216, 0.2500, 0.4999], [0.5784, 0.7500, 0.5001], [0.7474, 0.2500, 0.5268], [0.7526, 0.7500, 0.0268], [0.9216, 0.2500, 0.0001]]}

=====

{"formula": "PmAs", "functional": "PBE-GGA", "state": "optimized geometry", "formation_energy_kj_per_mol_atoms": -103.8, "crystal_system": "cubic", "relative_energy_kj_per_mol_fu": 87, "magnetic_moment_mub_per_cell": 0.00, "cell": [[3.6631, 0.0000, 0.0000], [0.0000, 3.6631, 0.0000], [0.0000, 0.0000, 3.6631]], "species": ["Pm", "As"], "frac_coords": [[0.0000, 0.0000, 0.0000], [0.5000, 0.5000, 0.5000]]}

=====

{"formula": "Ca2AcGaN", "functional": "PBE-GGA", "state": "optimized geometry", "raw_formation_energy_mev_per_atom": -668.4, "crystal_system": "tetragonal", "magnetic_moment_mub_per_cell": 0.00, "cell": [[-3.4313, 3.4313, 5.3351], [3.4313, -3.4313, 5.3351], [3.4313, 3.4313, -5.3351]], "species": ["Ca", "Ca", "Ca", "Ca", "Ac", "Ac", "Ga", "Ga", "N", "N"], "frac_coords": [[0.2065, 0.7065, 0.9130], [0.2935, 0.2065, 0.5000], [0.7065, 0.7935, 0.5000], [0.7935, 0.2935, 0.0870], [0.2500, 0.2500, 0.0000], [0.7500, 0.7500, 0.0000], [0.2500, 0.7500, 0.5000], [0.7500, 0.2500, 0.5000], [0.0000, 0.0000, 0.0000], [0.5000, 0.5000, 0.0000]]}

=====

{"formula": "NaLa2SnO", "functional": "PBE-GGA", "state": "optimized geometry", "raw_formation_energy_mev_per_atom": -1464.4, "crystal_system": "tetragonal", "magnetic_moment_mub_per_cell": 0.00, "cell": [[5.0285, 0.0000, 0.0000], [0.0000, 5.0285, 0.0000], [0.0000, 0.0000, 4.8345]], "species": ["Na", "La", "La", "Sn", "O"], "frac_coords": [[0.0000, 0.0000, 0.0000], [0.0000, 0.5000, 0.5000], [0.5000, 0.0000, 0.5000], [0.5000, 0.5000, 0.0000], [0.0000, 0.0000, 0.5000]]}

=====

{"formula": "Co2SiAg", "functional": "PBE-GGA", "state": "optimized geometry", "raw_formation_energy_mev_per_atom": 111.6, "crystal_system": "monoclinic", "magnetic_moment_mub_per_cell": 3.13, "cell": [[7.6084, 0.0000, 0.0000], [0.0000, 2.7127, 0.0000], [-1.0361, 0.0000, 5.1643]], "species": ["Co", "Co", "Co", "Co", "Si", "Si", "Ag", "Ag"], "frac_coords": [[0.2323, 0.0000, 0.1898], [0.2677, 0.5000, 0.8102], [0.7323, 0.5000, 0.1898], [0.7677, 0.0000, 0.8102], [0.0000, 0.5000, 0.0000], [0.5000, 0.0000, 0.0000], [0.0000, 0.0000, 0.5000], [0.5000, 0.5000, 0.5000]]}